Record 1
# PBE Cs4Hg, optimized geometry
data_Cs4Hg
_space_group_name_H-M_alt 'P 1 2/c 1'
_space_group_IT_number 13
_space_group_name_Hall '-P 2yc'
_cell_length_a 9.285
_cell_length_b 10.828
_cell_length_c 9.431
_cell_angle_alpha 90.00
_cell_angle_beta 109.07
_cell_angle_gamma 90.00
loop_
_atom_site_label
_atom_site_fract_x
_atom_site_fract_y
_atom_site_fract_z
Cs1 0.245 0.123 0.001
Cs2 0.252 0.378 0.493
Hg1 0.500 0.129 0.750
# ΔE_f	-8	kJ/mol of atoms

---

Record 2
# PBE CsHg, optimized geometry
data_CsHg
_space_group_name_H-M_alt 'P -1'
_space_group_IT_number 2
_space_group_name_Hall '-P 1'
_cell_length_a 7.436
_cell_length_b 7.706
_cell_length_c 7.789
_cell_angle_alpha 107.64
_cell_angle_beta 103.95
_cell_angle_gamma 92.45
loop_
_atom_site_label
_atom_site_fract_x
_atom_site_fract_y
_atom_site_fract_z
Cs1 0.191 0.285 0.129
Cs2 0.256 0.840 0.552
Hg1 0.315 0.392 0.705
Hg2 0.362 0.748 0.052
# ΔE_f	-23	kJ/mol of atoms

---

Record 3
# PBE Cs3Hg2, optimized geometry
data_Cs3Hg2
_space_group_name_H-M_alt 'I m m m'
_space_group_IT_number 71
_space_group_name_Hall '-I 2 2'
_cell_length_a 5.627
_cell_length_b 8.576
_cell_length_c 12.483
_cell_angle_alpha 90.00
_cell_angle_beta 90.00
_cell_angle_gamma 90.00
loop_
_atom_site_label
_atom_site_fract_x
_atom_site_fract_y
_atom_site_fract_z
Cs1 0.000 0.000 0.000
Cs2 0.000 0.500 0.198
Hg1 0.000 0.178 0.500
# ΔE_f	-18	kJ/mol of atoms

---

Record 4
# PBE Cs8Hg3, optimized geometry
data_Cs8Hg3
_space_group_name_H-M_alt 'R -3'
_space_group_IT_number 148
_space_group_name_Hall '-R 3'
_cell_length_a 13.4784
_cell_length_b 13.4784
_cell_length_c 16.7737
_cell_angle_alpha 90.00
_cell_angle_beta 90.00
_cell_angle_gamma 120.00
loop_
_atom_site_label
_atom_site_fract_x
_atom_site_fract_y
_atom_site_fract_z
Cs1 0.0000 0.0000 0.1503
Cs2 0.0423 0.7717 0.6153
Hg1 0.0000 0.5000 0.5000
# ΔE_f	-12	kJ/mol of atoms

---

Record 5
# PBE Cs15Hg, optimized geometry
data_Cs15Hg
_space_group_name_H-M_alt 'P -6 m 2'
_space_group_IT_number 187
_space_group_name_Hall 'P -6 2'
_cell_length_a 10.7773
_cell_length_b 10.7773
_cell_length_c 17.1129
_cell_angle_alpha 90.00
_cell_angle_beta 90.00
_cell_angle_gamma 120.00
loop_
_atom_site_label
_atom_site_fract_x
_atom_site_fract_y
_atom_site_fract_z
Cs1 0.0000 0.0000 0.0000
Cs2 0.0080 0.5040 0.5000
Cs3 0.3202 0.1601 0.2677
Cs4 0.3333 0.6667 0.2407
Cs5 0.5042 0.0084 0.0000
Hg1 0.0000 0.0000 0.5000
# ΔE_f	0	kJ/mol of atoms

---

Record 6
# PBE Cs3Hg20, optimized geometry
data_Cs3Hg20
_space_group_name_H-M_alt 'P m -3 n'
_space_group_IT_number 223
_space_group_name_Hall '-P 4n 2 3'
_cell_length_a 11.559
_cell_length_b 11.559
_cell_length_c 11.559
_cell_angle_alpha 90.00
_cell_angle_beta 90.00
_cell_angle_gamma 90.00
loop_
_atom_site_label
_atom_site_fract_x
_atom_site_fract_y
_atom_site_fract_z
Cs1 0.000 0.250 0.500
Hg1 0.000 0.000 0.000
Hg2 0.000 0.255 0.135
Hg3 0.000 0.500 0.250
Hg4 0.250 0.250 0.250
# ΔE_f	-15	kJ/mol of atoms

---

Record 7
# PBE Cs3Hg8, optimized geometry
data_Cs3Hg8
_space_group_name_H-M_alt 'I m m m'
_space_group_IT_number 71
_space_group_name_Hall '-I 2 2'
_cell_length_a 5.093
_cell_length_b 5.427
_cell_length_c 32.157
_cell_angle_alpha 90.00
_cell_angle_beta 90.00
_cell_angle_gamma 90.00
loop_
_atom_site_label
_atom_site_fract_x
_atom_site_fract_y
_atom_site_fract_z
Cs1 0.000 0.000 0.000
Cs2 0.000 0.500 0.151
Hg1 0.000 0.000 0.251
Hg2 0.000 0.000 0.451
Hg3 0.000 0.500 0.304
Hg4 0.000 0.500 0.402
# ΔE_f	-24	kJ/mol of atoms

---

Record 8
# PBE CsHg, optimized geometry
data_CsHg
_space_group_name_H-M_alt 'I 41/a m d'
_space_group_IT_number 141
_cell_length_a 5.465
_cell_length_b 5.465
_cell_length_c 28.006
_cell_angle_alpha 90.00
_cell_angle_beta 90.00
_cell_angle_gamma 90.00
loop_
_space_group_symop_operation_xyz
'x,y,z'
'-x,-y,-z'
'-y+1/4,x+3/4,z+1/4'
'y+1/4,-x+3/4,-z+1/4'
'-x+1/2,-y,z+1/2'
'x+1/2,y,-z+1/2'
'y+1/4,-x+1/4,z+3/4'
'-y+1/4,x+1/4,-z+3/4'
'x,-y,-z'
'-x,y,z'
'-y+1/4,-x+1/4,-z+3/4'
'y+1/4,x+1/4,z+3/4'
'-x+1/2,y,-z+1/2'
'x+1/2,-y,z+1/2'
'y+1/4,x+3/4,-z+1/4'
'-y+1/4,-x+3/4,z+1/4'
'x+1/2,y+1/2,z+1/2'
'-x+1/2,-y+1/2,-z+1/2'
'-y+3/4,x+1/4,z+3/4'
'y+3/4,-x+1/4,-z+3/4'
'-x,-y+1/2,z'
'x,y+1/2,-z'
'y+3/4,-x+3/4,z+1/4'
'-y+3/4,x+3/4,-z+1/4'
'x+1/2,-y+1/2,-z+1/2'
'-x+1/2,y+1/2,z+1/2'
'-y+3/4,-x+3/4,-z+1/4'
'y+3/4,x+3/4,z+1/4'
'-x,y+1/2,-z'
'x,-y+1/2,z'
'y+3/4,x+1/4,-z+3/4'
'-y+3/4,-x+1/4,z+3/4'
loop_
_atom_site_label
_atom_site_fract_x
_atom_site_fract_y
_atom_site_fract_z
Cs1 0.000 0.250 0.073
Hg1 0.000 0.250 0.221
# ΔE_f	-23	kJ/mol of atoms

---

Record 9
# PBE CsHg, optimized geometry
data_CsHg
_space_group_name_H-M_alt 'P 63/m m c'
_space_group_IT_number 194
_space_group_name_Hall '-P 6c 2c'
_cell_length_a 6.5825
_cell_length_b 6.5825
_cell_length_c 7.6794
_cell_angle_alpha 90.00
_cell_angle_beta 90.00
_cell_angle_gamma 120.00
loop_
_atom_site_label
_atom_site_fract_x
_atom_site_fract_y
_atom_site_fract_z
Cs1 0.3333 0.6667 0.2500
Hg1 0.3333 0.6667 0.7500
# ΔE_f	-7	kJ/mol of atoms

---

Record 10
# PBE Cs4Hg, optimized geometry
data_Cs4Hg
_space_group_name_H-M_alt 'I b a m'
_space_group_IT_number 72
_space_group_name_Hall '-I 2 2c'
_cell_length_a 9.894
_cell_length_b 19.620
_cell_length_c 8.745
_cell_angle_alpha 90.00
_cell_angle_beta 90.00
_cell_angle_gamma 90.00
loop_
_atom_site_label
_atom_site_fract_x
_atom_site_fract_y
_atom_site_fract_z
Cs1 0.146 0.166 0.000
Cs2 0.193 0.425 0.000
Hg1 0.000 0.000 0.250
# ΔE_f	-9	kJ/mol of atoms

---

Record 11
# PBE Cs2Hg13, optimized geometry
data_Cs2Hg13
_space_group_name_H-M_alt 'R -3 m'
_space_group_IT_number 166
_space_group_name_Hall '-R 3 2"'
_cell_length_a 9.4677
_cell_length_b 9.4677
_cell_length_c 22.5696
_cell_angle_alpha 90.00
_cell_angle_beta 90.00
_cell_angle_gamma 120.00
loop_
_atom_site_label
_atom_site_fract_x
_atom_site_fract_y
_atom_site_fract_z
Cs1 0.0000 0.0000 0.2201
Hg1 0.0000 0.0000 0.5000
Hg2 0.1012 0.5506 0.0571
Hg3 0.1073 0.5537 0.7330
# ΔE_f	-10	kJ/mol of atoms

---

Record 12
# PBE CsHg3, optimized geometry
data_CsHg3
_space_group_name_H-M_alt 'I m m m'
_space_group_IT_number 71
_space_group_name_Hall '-I 2 2'
_cell_length_a 4.987
_cell_length_b 6.045
_cell_length_c 10.156
_cell_angle_alpha 90.00
_cell_angle_beta 90.00
_cell_angle_gamma 90.00
loop_
_atom_site_label
_atom_site_fract_x
_atom_site_fract_y
_atom_site_fract_z
Cs1 0.000 0.000 0.000
Hg1 0.000 0.000 0.500
Hg2 0.000 0.500 0.216
# ΔE_f	-19	kJ/mol of atoms

---

Record 13
# PBE CsHoHg2, optimized geometry
data_CsHoHg2
_space_group_name_H-M_alt 'P 4/m m m'
_space_group_IT_number 123
_space_group_name_Hall '-P 4 2'
_cell_length_a 3.851
_cell_length_b 3.851
_cell_length_c 8.959
_cell_angle_alpha 90.00
_cell_angle_beta 90.00
_cell_angle_gamma 90.00
loop_
_atom_site_label
_atom_site_fract_x
_atom_site_fract_y
_atom_site_fract_z
Cs1 0.000 0.000 0.000
Ho1 0.000 0.000 0.500
Hg1 0.500 0.500 0.317
# ΔE_f	-22	kJ/mol of atoms

---

Record 14
# PBE Cs2HoHgI6, optimized geometry
data_Cs2HoHgI6
_space_group_name_H-M_alt 'I 4/m m m'
_space_group_IT_number 139
_space_group_name_Hall '-I 4 2'
_cell_length_a 8.856
_cell_length_b 8.856
_cell_length_c 12.482
_cell_angle_alpha 90.00
_cell_angle_beta 90.00
_cell_angle_gamma 90.00
loop_
_atom_site_label
_atom_site_fract_x
_atom_site_fract_y
_atom_site_fract_z
Cs1 0.000 0.500 0.250
Ho1 0.000 0.000 0.000
Hg1 0.000 0.000 0.500
I1 0.000 0.000 0.242
I2 0.241 0.241 0.000
# E_form (uncorrected)	-1.17	eV per atom

---

Record 15
# PBE CsHoHgSe3, optimized geometry
data_CsHoHgSe3
_space_group_name_H-M_alt 'P 1 21/m 1'
_space_group_IT_number 11
_space_group_name_Hall '-P 2yb'
_cell_length_a 9.477
_cell_length_b 4.297
_cell_length_c 10.652
_cell_angle_alpha 90.00
_cell_angle_beta 111.11
_cell_angle_gamma 90.00
loop_
_atom_site_label
_atom_site_fract_x
_atom_site_fract_y
_atom_site_fract_z
Cs1 0.225 0.250 0.250
Ho1 0.331 0.750 0.866
Hg1 0.087 0.250 0.617
Se1 0.122 0.250 0.873
Se2 0.229 0.750 0.556
Se3 0.474 0.750 0.147
# E_form (uncorrected)	-1.21	eV per atom

---

Record 16
# PBE Cs2HoHg2Se4, optimized geometry
data_Cs2HoHg2Se4
_space_group_name_H-M_alt 'C 1 2/m 1'
_space_group_IT_number 12
_space_group_name_Hall '-C 2y'
_cell_length_a 16.940
_cell_length_b 4.258
_cell_length_c 8.857
_cell_angle_alpha 90.00
_cell_angle_beta 112.39
_cell_angle_gamma 90.00
loop_
_atom_site_label
_atom_site_fract_x
_atom_site_fract_y
_atom_site_fract_z
Cs1 0.128 0.000 0.070
Ho1 0.000 0.000 0.500
Hg1 0.188 0.500 0.515
Se1 0.022 0.500 0.293
Se2 0.179 0.000 0.711
# E_form (uncorrected)	-0.99	eV per atom

---

Record 17
# PBE CsHoHgTe3, optimized geometry
data_CsHoHgTe3
_space_group_name_H-M_alt 'P 1 21/m 1'
_space_group_IT_number 11
_space_group_name_Hall '-P 2yb'
_cell_length_a 10.044
_cell_length_b 4.548
_cell_length_c 11.234
_cell_angle_alpha 90.00
_cell_angle_beta 111.18
_cell_angle_gamma 90.00
loop_
_atom_site_label
_atom_site_fract_x
_atom_site_fract_y
_atom_site_fract_z
Cs1 0.223 0.250 0.255
Ho1 0.329 0.750 0.865
Hg1 0.084 0.250 0.616
Te1 0.117 0.250 0.875
Te2 0.230 0.750 0.555
Te3 0.472 0.750 0.153
# E_form (uncorrected)	-0.97	eV per atom

---

Record 18
# PBE Cs2HoHg2Te4, optimized geometry
data_Cs2HoHg2Te4
_space_group_name_H-M_alt 'C 1 2/m 1'
_space_group_IT_number 12
_space_group_name_Hall '-C 2y'
_cell_length_a 17.744
_cell_length_b 4.663
_cell_length_c 9.004
_cell_angle_alpha 90.00
_cell_angle_beta 110.19
_cell_angle_gamma 90.00
loop_
_atom_site_label
_atom_site_fract_x
_atom_site_fract_y
_atom_site_fract_z
Cs1 0.134 0.000 0.083
Ho1 0.000 0.000 0.500
Hg1 0.173 0.500 0.470
Te1 0.003 0.500 0.269
Te2 0.185 0.000 0.683
# E_form (uncorrected)	-0.80	eV per atom

---

Q: Which uncorrected energy values were calculated for the entries above? A: -8.3; -6.5; -8.2; -27.3; -13.0; -24.6; -15.3; -13.1; -2.6; -16.8; -21.7; -5.1; -6.9; -55.1; -46.9; -59.4; -41.9; -53.4, in eV for the cell shown.